a:
{
  "formula": "Co4Ni9",
  "functional": "PBE",
  "state": "relaxed",
  "cell": [[2.2826, 1.3179, 8.0585], [-2.2826, 1.3179, 8.0585], [0.0000, -2.6357, 8.0585]],
  "species": ["Co", "Co", "Co", "Co", "Ni", "Ni", "Ni", "Ni", "Ni", "Ni", "Ni", "Ni", "Ni"],
  "frac_coords": [[0.1512, 0.1512, 0.1512], [0.3340, 0.3340, 0.3340], [0.6660, 0.6660, 0.6660], [0.8488, 0.8488, 0.8488], [0.0471, 0.0471, 0.0471], [0.0848, 0.5896, 0.5896], [0.4104, 0.4104, 0.9152], [0.4104, 0.9152, 0.4104], [0.5000, 0.5000, 0.5000], [0.5896, 0.0848, 0.5896], [0.5896, 0.5896, 0.0848], [0.9152, 0.4104, 0.4104], [0.9529, 0.9529, 0.9529]],
  "sg": "R-3m, No. 166",
  "rho_g_cm3": 8.722
}



b:
{
  "formula": "Co4Ni9",
  "functional": "PBE",
  "state": "relaxed",
  "cell": [[2.2769, 1.3146, 8.1068], [-2.2769, 1.3146, 8.1068], [0.0000, -2.6291, 8.1068]],
  "species": ["Co", "Co", "Co", "Co", "Ni", "Ni", "Ni", "Ni", "Ni", "Ni", "Ni", "Ni", "Ni"],
  "frac_coords": [[0.0455, 0.0455, 0.0455], [0.1529, 0.1529, 0.1529], [0.8471, 0.8471, 0.8471], [0.9545, 0.9545, 0.9545], [0.0849, 0.5884, 0.5884], [0.3334, 0.3334, 0.3334], [0.4116, 0.4116, 0.9151], [0.4116, 0.9151, 0.4116], [0.5000, 0.5000, 0.5000], [0.5884, 0.0849, 0.5884], [0.5884, 0.5884, 0.0849], [0.6666, 0.6666, 0.6666], [0.9151, 0.4116, 0.4116]],
  "sg": "R-3m, No. 166",
  "rho_g_cm3": 8.714
}



c:
{
  "formula": "Co4Ni9",
  "functional": "PBE",
  "state": "relaxed",
  "cell": [[2.2879, 1.3209, 8.0161], [-2.2879, 1.3209, 8.0161], [0.0000, -2.6418, 8.0161]],
  "species": ["Co", "Co", "Co", "Co", "Ni", "Ni", "Ni", "Ni", "Ni", "Ni", "Ni", "Ni", "Ni"],
  "frac_coords": [[0.0460, 0.0460, 0.0460], [0.3344, 0.3344, 0.3344], [0.6656, 0.6656, 0.6656], [0.9540, 0.9540, 0.9540], [0.0842, 0.5883, 0.5883], [0.1510, 0.1510, 0.1510], [0.4117, 0.4117, 0.9158], [0.4117, 0.9158, 0.4117], [0.5000, 0.5000, 0.5000], [0.5883, 0.0842, 0.5883], [0.5883, 0.5883, 0.0842], [0.8490, 0.8490, 0.8490], [0.9158, 0.4117, 0.4117]],
  "sg": "R-3m, No. 166",
  "rho_g_cm3": 8.728
}



Which structure is most stable, and how do the rest compare? From most to least stable: c, b, a.



a:
{
  "formula": "Co10Ni3",
  "functional": "PBE",
  "state": "relaxed",
  "cell": [[2.2787, 1.3156, 8.0687], [-2.2787, 1.3156, 8.0687], [0.0000, -2.6312, 8.0687]],
  "species": ["Co", "Co", "Co", "Co", "Co", "Co", "Co", "Co", "Co", "Co", "Ni", "Ni", "Ni"],
  "frac_coords": [[0.0472, 0.0472, 0.0472], [0.0834, 0.5896, 0.5896], [0.1526, 0.1526, 0.1526], [0.4104, 0.4104, 0.9166], [0.4104, 0.9166, 0.4104], [0.5896, 0.0834, 0.5896], [0.5896, 0.5896, 0.0834], [0.8474, 0.8474, 0.8474], [0.9166, 0.4104, 0.4104], [0.9528, 0.9528, 0.9528], [0.3342, 0.3342, 0.3342], [0.5000, 0.5000, 0.5000], [0.6658, 0.6658, 0.6658]],
  "sg": "R-3m, No. 166",
  "rho_g_cm3": 8.757
}



b:
{
  "formula": "Co10Ni3",
  "functional": "PBE",
  "state": "relaxed",
  "cell": [[2.2804, 1.3166, 8.0920], [-2.2804, 1.3166, 8.0920], [0.0000, -2.6332, 8.0920]],
  "species": ["Co", "Co", "Co", "Co", "Co", "Co", "Co", "Co", "Co", "Co", "Ni", "Ni", "Ni"],
  "frac_coords": [[0.0831, 0.5899, 0.5899], [0.1499, 0.1499, 0.1499], [0.3349, 0.3349, 0.3349], [0.4101, 0.4101, 0.9169], [0.4101, 0.9169, 0.4101], [0.5899, 0.0831, 0.5899], [0.5899, 0.5899, 0.0831], [0.6651, 0.6651, 0.6651], [0.8501, 0.8501, 0.8501], [0.9169, 0.4101, 0.4101], [0.0471, 0.0471, 0.0471], [0.5000, 0.5000, 0.5000], [0.9529, 0.9529, 0.9529]],
  "sg": "R-3m, No. 166",
  "rho_g_cm3": 8.719
}



Which structure is most stable, and how do the rest compare? From most to least stable: a, b.



a:
{
  "formula": "Co5Ni7",
  "functional": "PBE",
  "state": "relaxed",
  "cell": [[4.5859, 0.0000, 0.0000], [-2.2930, 3.9715, 0.0000], [0.0000, 0.0000, 14.9489]],
  "species": ["Co", "Co", "Co", "Co", "Co", "Co", "Co", "Co", "Co", "Co", "Ni", "Ni", "Ni", "Ni", "Ni", "Ni", "Ni", "Ni", "Ni", "Ni", "Ni", "Ni", "Ni", "Ni"],
  "frac_coords": [[0.0000, 0.0000, 0.0894], [0.0000, 0.0000, 0.4106], [0.0000, 0.0000, 0.5894], [0.0000, 0.0000, 0.9106], [0.1608, 0.3216, 0.2500], [0.1608, 0.8392, 0.2500], [0.3216, 0.1608, 0.7500], [0.6784, 0.8392, 0.2500], [0.8392, 0.1608, 0.7500], [0.8392, 0.6784, 0.7500], [0.0000, 0.5000, 0.0000], [0.0000, 0.5000, 0.5000], [0.3333, 0.6667, 0.1268], [0.3333, 0.6667, 0.3732], [0.3333, 0.6667, 0.6575], [0.3333, 0.6667, 0.8425], [0.5000, 0.0000, 0.0000], [0.5000, 0.0000, 0.5000], [0.5000, 0.5000, 0.0000], [0.5000, 0.5000, 0.5000], [0.6667, 0.3333, 0.1575], [0.6667, 0.3333, 0.3425], [0.6667, 0.3333, 0.6268], [0.6667, 0.3333, 0.8732]],
  "sg": "P6_3/mmc, No. 194",
  "rho_g_cm3": 8.606
}



b:
{
  "formula": "Co5Ni7",
  "functional": "PBE",
  "state": "relaxed",
  "cell": [[4.5858, 0.0000, 0.0000], [-2.2929, 3.9714, 0.0000], [0.0000, 0.0000, 14.9031]],
  "species": ["Co", "Co", "Co", "Co", "Co", "Co", "Co", "Co", "Co", "Co", "Ni", "Ni", "Ni", "Ni", "Ni", "Ni", "Ni", "Ni", "Ni", "Ni", "Ni", "Ni", "Ni", "Ni"],
  "frac_coords": [[0.1612, 0.3225, 0.2500], [0.1612, 0.8388, 0.2500], [0.3225, 0.1612, 0.7500], [0.3333, 0.6667, 0.6608], [0.3333, 0.6667, 0.8392], [0.6667, 0.3333, 0.1608], [0.6667, 0.3333, 0.3392], [0.6775, 0.8388, 0.2500], [0.8388, 0.1612, 0.7500], [0.8388, 0.6775, 0.7500], [0.0000, 0.0000, 0.0928], [0.0000, 0.0000, 0.4072], [0.0000, 0.0000, 0.5928], [0.0000, 0.0000, 0.9072], [0.0000, 0.5000, 0.0000], [0.0000, 0.5000, 0.5000], [0.3333, 0.6667, 0.1265], [0.3333, 0.6667, 0.3735], [0.5000, 0.0000, 0.0000], [0.5000, 0.0000, 0.5000], [0.5000, 0.5000, 0.0000], [0.5000, 0.5000, 0.5000], [0.6667, 0.3333, 0.6265], [0.6667, 0.3333, 0.8735]],
  "sg": "P6_3/mmc, No. 194",
  "rho_g_cm3": 8.633
}



c:
{
  "formula": "Co5Ni7",
  "functional": "PBE",
  "state": "relaxed",
  "cell": [[4.5991, 0.0000, 0.0000], [-2.2995, 3.9829, 0.0000], [0.0000, 0.0000, 14.8565]],
  "species": ["Co", "Co", "Co", "Co", "Co", "Co", "Co", "Co", "Co", "Co", "Ni", "Ni", "Ni", "Ni", "Ni", "Ni", "Ni", "Ni", "Ni", "Ni", "Ni", "Ni", "Ni", "Ni"],
  "frac_coords": [[0.1608, 0.3215, 0.2500], [0.1608, 0.8392, 0.2500], [0.3215, 0.1608, 0.7500], [0.3333, 0.6667, 0.1279], [0.3333, 0.6667, 0.3721], [0.6667, 0.3333, 0.6279], [0.6667, 0.3333, 0.8721], [0.6785, 0.8392, 0.2500], [0.8392, 0.1608, 0.7500], [0.8392, 0.6785, 0.7500], [0.0000, 0.0000, 0.0918], [0.0000, 0.0000, 0.4082], [0.0000, 0.0000, 0.5918], [0.0000, 0.0000, 0.9082], [0.0000, 0.5000, 0.0000], [0.0000, 0.5000, 0.5000], [0.3333, 0.6667, 0.6577], [0.3333, 0.6667, 0.8423], [0.5000, 0.0000, 0.0000], [0.5000, 0.0000, 0.5000], [0.5000, 0.5000, 0.0000], [0.5000, 0.5000, 0.5000], [0.6667, 0.3333, 0.1577], [0.6667, 0.3333, 0.3423]],
  "sg": "P6_3/mmc, No. 194",
  "rho_g_cm3": 8.610
}



Which structure is most stable, and how do the rest compare? From most to least stable: c, b, a.



a:
{
  "formula": "Co5Ni7",
  "functional": "PBE",
  "state": "relaxed",
  "cell": [[4.5864, 0.0000, 0.0000], [-2.2932, 3.9719, 0.0000], [0.0000, 0.0000, 14.9400]],
  "species": ["Co", "Co", "Co", "Co", "Co", "Co", "Co", "Co", "Co", "Co", "Ni", "Ni", "Ni", "Ni", "Ni", "Ni", "Ni", "Ni", "Ni", "Ni", "Ni", "Ni", "Ni", "Ni"],
  "frac_coords": [[0.0000, 0.5000, 0.0000], [0.0000, 0.5000, 0.5000], [0.3333, 0.6667, 0.1540], [0.3333, 0.6667, 0.3460], [0.5000, 0.0000, 0.0000], [0.5000, 0.0000, 0.5000], [0.5000, 0.5000, 0.0000], [0.5000, 0.5000, 0.5000], [0.6667, 0.3333, 0.6540], [0.6667, 0.3333, 0.8460], [0.0000, 0.0000, 0.0899], [0.0000, 0.0000, 0.4101], [0.0000, 0.0000, 0.5899], [0.0000, 0.0000, 0.9101], [0.1621, 0.3242, 0.7500], [0.1621, 0.8379, 0.7500], [0.3242, 0.1621, 0.2500], [0.3333, 0.6667, 0.6263], [0.3333, 0.6667, 0.8737], [0.6667, 0.3333, 0.1263], [0.6667, 0.3333, 0.3737], [0.6758, 0.8379, 0.7500], [0.8379, 0.1621, 0.2500], [0.8379, 0.6758, 0.2500]],
  "sg": "P6_3/mmc, No. 194",
  "rho_g_cm3": 8.609
}



b:
{
  "formula": "Co5Ni7",
  "functional": "PBE",
  "state": "relaxed",
  "cell": [[4.6009, 0.0000, 0.0000], [-2.3004, 3.9845, 0.0000], [0.0000, 0.0000, 14.8855]],
  "species": ["Co", "Co", "Co", "Co", "Co", "Co", "Co", "Co", "Co", "Co", "Ni", "Ni", "Ni", "Ni", "Ni", "Ni", "Ni", "Ni", "Ni", "Ni", "Ni", "Ni", "Ni", "Ni"],
  "frac_coords": [[0.0000, 0.5000, 0.0000], [0.0000, 0.5000, 0.5000], [0.3333, 0.6667, 0.1269], [0.3333, 0.6667, 0.3731], [0.5000, 0.0000, 0.0000], [0.5000, 0.0000, 0.5000], [0.5000, 0.5000, 0.0000], [0.5000, 0.5000, 0.5000], [0.6667, 0.3333, 0.6269], [0.6667, 0.3333, 0.8731], [0.0000, 0.0000, 0.0886], [0.0000, 0.0000, 0.4114], [0.0000, 0.0000, 0.5886], [0.0000, 0.0000, 0.9114], [0.1618, 0.3236, 0.2500], [0.1618, 0.8382, 0.2500], [0.3236, 0.1618, 0.7500], [0.3333, 0.6667, 0.6514], [0.3333, 0.6667, 0.8486], [0.6667, 0.3333, 0.1514], [0.6667, 0.3333, 0.3486], [0.6764, 0.8382, 0.2500], [0.8382, 0.1618, 0.7500], [0.8382, 0.6764, 0.7500]],
  "sg": "P6_3/mmc, No. 194",
  "rho_g_cm3": 8.586
}



Which structure is most stable, and how do the rest compare? From most to least stable: b, a.



a:
{
  "formula": "Co5Ni8",
  "functional": "PBE",
  "state": "relaxed",
  "cell": [[2.2838, 1.3186, 8.0535], [-2.2838, 1.3186, 8.0535], [0.0000, -2.6372, 8.0535]],
  "species": ["Co", "Co", "Co", "Co", "Co", "Ni", "Ni", "Ni", "Ni", "Ni", "Ni", "Ni", "Ni"],
  "frac_coords": [[0.0000, 0.0000, 0.0000], [0.1649, 0.1649, 0.1649], [0.3491, 0.3491, 0.3491], [0.6509, 0.6509, 0.6509], [0.8351, 0.8351, 0.8351], [0.0894, 0.0894, 0.5846], [0.0894, 0.5846, 0.0894], [0.4154, 0.9106, 0.9106], [0.4525, 0.4525, 0.4525], [0.5475, 0.5475, 0.5475], [0.5846, 0.0894, 0.0894], [0.9106, 0.4154, 0.9106], [0.9106, 0.9106, 0.4154]],
  "sg": "R-3m, No. 166",
  "rho_g_cm3": 8.721
}



b:
{
  "formula": "Co5Ni8",
  "functional": "PBE",
  "state": "relaxed",
  "cell": [[2.2850, 1.3192, 8.0156], [-2.2850, 1.3192, 8.0156], [0.0000, -2.6385, 8.0156]],
  "species": ["Co", "Co", "Co", "Co", "Co", "Ni", "Ni", "Ni", "Ni", "Ni", "Ni", "Ni", "Ni"],
  "frac_coords": [[0.0000, 0.0000, 0.0000], [0.1654, 0.1654, 0.1654], [0.4541, 0.4541, 0.4541], [0.5459, 0.5459, 0.5459], [0.8346, 0.8346, 0.8346], [0.0886, 0.0886, 0.5844], [0.0886, 0.5844, 0.0886], [0.3484, 0.3484, 0.3484], [0.4156, 0.9114, 0.9114], [0.5844, 0.0886, 0.0886], [0.6516, 0.6516, 0.6516], [0.9114, 0.4156, 0.9114], [0.9114, 0.9114, 0.4156]],
  "sg": "R-3m, No. 166",
  "rho_g_cm3": 8.753
}



Which structure is most stable, and how do the rest compare? From most to least stable: b, a.



a:
{
  "formula": "Co11Ni2",
  "functional": "PBE",
  "state": "relaxed",
  "cell": [[2.2810, 1.3169, 8.0617], [-2.2810, 1.3169, 8.0617], [0.0000, -2.6338, 8.0617]],
  "species": ["Co", "Co", "Co", "Co", "Co", "Co", "Co", "Co", "Co", "Co", "Co", "Ni", "Ni"],
  "frac_coords": [[0.0000, 0.0000, 0.0000], [0.0903, 0.0903, 0.5834], [0.0903, 0.5834, 0.0903], [0.1649, 0.1649, 0.1649], [0.3496, 0.3496, 0.3496], [0.4166, 0.9097, 0.9097], [0.5834, 0.0903, 0.0903], [0.6504, 0.6504, 0.6504], [0.8351, 0.8351, 0.8351], [0.9097, 0.4166, 0.9097], [0.9097, 0.9097, 0.4166], [0.4527, 0.4527, 0.4527], [0.5473, 0.5473, 0.5473]],
  "sg": "R-3m, No. 166",
  "rho_g_cm3": 8.750
}



b:
{
  "formula": "Co11Ni2",
  "functional": "PBE",
  "state": "relaxed",
  "cell": [[2.2785, 1.3155, 8.0631], [-2.2785, 1.3155, 8.0631], [0.0000, -2.6310, 8.0631]],
  "species": ["Co", "Co", "Co", "Co", "Co", "Co", "Co", "Co", "Co", "Co", "Co", "Ni", "Ni"],
  "frac_coords": [[0.0000, 0.0000, 0.0000], [0.0902, 0.0902, 0.5833], [0.0902, 0.5833, 0.0902], [0.3480, 0.3480, 0.3480], [0.4167, 0.9098, 0.9098], [0.4529, 0.4529, 0.4529], [0.5471, 0.5471, 0.5471], [0.5833, 0.0902, 0.0902], [0.6520, 0.6520, 0.6520], [0.9098, 0.4167, 0.9098], [0.9098, 0.9098, 0.4167], [0.1654, 0.1654, 0.1654], [0.8346, 0.8346, 0.8346]],
  "sg": "R-3m, No. 166",
  "rho_g_cm3": 8.768
}



Which structure is most stable, and how do the rest compare? From most to least stable: b, a.



a:
{
  "formula": "Co8Ni5",
  "functional": "PBE",
  "state": "relaxed",
  "cell": [[2.2803, 1.3165, 8.0701], [-2.2803, 1.3165, 8.0701], [0.0000, -2.6331, 8.0701]],
  "species": ["Co", "Co", "Co", "Co", "Co", "Co", "Co", "Co", "Ni", "Ni", "Ni", "Ni", "Ni"],
  "frac_coords": [[0.0469, 0.0469, 0.0469], [0.0834, 0.5894, 0.5894], [0.4106, 0.4106, 0.9166], [0.4106, 0.9166, 0.4106], [0.5894, 0.0834, 0.5894], [0.5894, 0.5894, 0.0834], [0.9166, 0.4106, 0.4106], [0.9531, 0.9531, 0.9531], [0.1516, 0.1516, 0.1516], [0.3347, 0.3347, 0.3347], [0.5000, 0.5000, 0.5000], [0.6653, 0.6653, 0.6653], [0.8484, 0.8484, 0.8484]],
  "sg": "R-3m, No. 166",
  "rho_g_cm3": 8.738
}



b:
{
  "formula": "Co8Ni5",
  "functional": "PBE",
  "state": "relaxed",
  "cell": [[2.2838, 1.3186, 8.0617], [-2.2838, 1.3186, 8.0617], [0.0000, -2.6371, 8.0617]],
  "species": ["Co", "Co", "Co", "Co", "Co", "Co", "Co", "Co", "Ni", "Ni", "Ni", "Ni", "Ni"],
  "frac_coords": [[0.0897, 0.0897, 0.5828], [0.0897, 0.5828, 0.0897], [0.1646, 0.1646, 0.1646], [0.4172, 0.9103, 0.9103], [0.5828, 0.0897, 0.0897], [0.8354, 0.8354, 0.8354], [0.9103, 0.4172, 0.9103], [0.9103, 0.9103, 0.4172], [0.0000, 0.0000, 0.0000], [0.3509, 0.3509, 0.3509], [0.4528, 0.4528, 0.4528], [0.5472, 0.5472, 0.5472], [0.6491, 0.6491, 0.6491]],
  "sg": "R-3m, No. 166",
  "rho_g_cm3": 8.720
}



Which structure is most stable, and how do the rest compare? From most to least stable: a, b.



a:
{
  "formula": "ZnCoNiOs",
  "functional": "PBE",
  "state": "relaxed",
  "cell": [[0.0000, 2.9131, 2.9131], [2.9131, 0.0000, 2.9131], [2.9131, 2.9131, 0.0000]],
  "species": ["Zn", "Co", "Ni", "Os"],
  "frac_coords": [[0.0000, 0.0000, 0.0000], [0.2500, 0.2500, 0.2500], [0.7500, 0.7500, 0.7500], [0.5000, 0.5000, 0.5000]],
  "sg": "F-43m, No. 216",
  "rho_g_cm3": 12.536
}



b:
{
  "formula": "ZnCoNiOs",
  "functional": "PBE",
  "state": "relaxed",
  "cell": [[0.0000, 2.9106, 2.9106], [2.9106, 0.0000, 2.9106], [2.9106, 2.9106, 0.0000]],
  "species": ["Zn", "Co", "Ni", "Os"],
  "frac_coords": [[0.0000, 0.0000, 0.0000], [0.2500, 0.2500, 0.2500], [0.5000, 0.5000, 0.5000], [0.7500, 0.7500, 0.7500]],
  "sg": "F-43m, No. 216",
  "rho_g_cm3": 12.569
}



Which structure is most stable, and how do the rest compare? From most to least stable: a, b.